The following is a DFT calculation (PBE-GGA) of a relaxed structure of CrWCl2.

Summary:
The total DFT energy (no corrections) is -5.3775 eV per atom. The value obtained for the mass density is 9.3 g/cm³. The value obtained for the volume is 54.7 Å³/f.u. Its uncorrected formation energy is 4.760 eV per formula unit. The crystal system is cubic.

CIF file:
```
data_CrWCl2
_chemical_formula_sum 'Cr4 W4 Cl8'
_cell_length_a 6.0246
_cell_length_b 6.0246
_cell_length_c 6.0246
_cell_angle_alpha 90.00
_cell_angle_beta 90.00
_cell_angle_gamma 90.00
_space_group_name_H-M_alt 'F m -3 m'
_space_group_IT_number 225
_space_group_name_Hall '-F 4 2 3'
loop_
_atom_site_label
_atom_site_type_symbol
_atom_site_fract_x
_atom_site_fract_y
_atom_site_fract_z
Cr1 Cr 0.0000 0.0000 0.0000
W1 W 0.0000 0.0000 0.5000
Cl1 Cl 0.2500 0.2500 0.2500
```